# 1
Entry from Alexandria: crystalline Li5In at its relaxed geometry (GGA-PBEsol).

## Properties
For the energy above the most stable polymorph in this dataset, the calculation gives 185 meV per atom. Its calculated formation energy is 0.001 eV per atom. For the raw total energy, the calculation gives -12.81 eV per formula unit.

Cell lengths 5.2117, 5.2117, 4.7997 Å; angles 90.00, 90.00, 120.00 degrees
Last column: nearest neighbours and their distance in Å.
Fractional positions:
Li 0.0000 0.5000 0.0000  8 Li 2.61-2.83
Li 0.3333 0.6667 0.5000  9 Li 2.83-3.01, 3 In 3.01
Li 0.5000 0.0000 0.0000  8 Li 2.61-2.83
Li 0.5000 0.5000 0.0000  8 Li 2.61-2.83
Li 0.6667 0.3333 0.5000  9 Li 2.83-3.01, 3 In 3.01
In 0.0000 0.0000 0.5000  6 Li 3.01

# 2
Entry from Alexandria: crystalline Li5In at its relaxed geometry (GGA-PBEsol).

## Properties
For the energy above the most stable polymorph in this dataset, the calculation gives 0 meV per atom. Its calculated formation energy is -0.184 eV per atom. For the raw total energy, the calculation gives -13.92 eV per formula unit.

Cell lengths 5.0988, 5.0988, 4.8658 Å; angles 90.00, 90.00, 120.00 degrees
Last column: nearest neighbours and their distance in Å.
Fractional positions:
Li 0.0000 0.6823 0.0000  10 Li 2.81-3.02, 2 In 2.92
Li 0.3177 0.3177 0.0000  10 Li 2.81-3.02, 2 In 2.92
Li 0.3333 0.6667 0.5000  3 In 2.94, 9 Li 2.94-2.99
Li 0.6667 0.3333 0.5000  3 In 2.94, 9 Li 2.94-2.99
Li 0.6823 0.0000 0.0000  10 Li 2.81-3.02, 2 In 2.92
In 0.0000 0.0000 0.5000  12 Li 2.92-2.94

# 3
Entry from Alexandria: crystalline LiIn2 at its relaxed geometry (GGA-PBEsol).

## Properties
Its calculated formation energy is -0.164 eV per atom. For the raw total energy, the calculation gives -8.42 eV per formula unit.

Cell lengths 4.9351, 4.9351, 4.9351 Å; angles 140.22, 118.72, 75.58 degrees
Last column: nearest neighbours and their distance in Å.
Fractional positions:
Li 0.0000 0.0000 0.0000  8 In 2.92-2.95
In 0.3105 0.8105 0.5000  4 Li 2.92-2.95, 5 In 2.96-3.17
In 0.6895 0.1895 0.5000  4 Li 2.92-2.95, 5 In 2.96-3.17

# 4
Entry from Alexandria: crystalline LiIn2 at its relaxed geometry (GGA-PBEsol).

## Properties
Its calculated formation energy is -0.213 eV per atom. For the raw total energy, the calculation gives -8.57 eV per formula unit.

Cell lengths 6.3801, 4.4320, 9.0784 Å; angles 90.00, 90.00, 90.00 degrees
Last column: nearest neighbours and their distance in Å.
Fractional positions:
Li 0.1338 0.2500 0.0934  10 In 3.00-3.27, 2 Li 3.27
Li 0.3662 0.7500 0.5934  10 In 3.00-3.27, 2 Li 3.27
Li 0.6338 0.2500 0.4066  10 In 3.00-3.27, 2 Li 3.27
Li 0.8662 0.7500 0.9066  10 In 3.00-3.27, 2 Li 3.27
In 0.1085 0.2500 0.7600  5 Li 3.01-3.15, 7 In 3.07-3.21
In 0.1456 0.2500 0.4233  5 Li 3.00-3.27, 7 In 3.07-3.21
In 0.3544 0.7500 0.9233  5 Li 3.00-3.27, 7 In 3.07-3.21
In 0.3915 0.7500 0.2600  5 Li 3.01-3.15, 7 In 3.07-3.21
In 0.6085 0.2500 0.7400  5 Li 3.01-3.15, 7 In 3.07-3.21
In 0.6456 0.2500 0.0767  5 Li 3.00-3.27, 7 In 3.07-3.21
In 0.8544 0.7500 0.5767  5 Li 3.00-3.27, 7 In 3.07-3.21
In 0.8915 0.7500 0.2400  5 Li 3.01-3.15, 7 In 3.07-3.21

# 5
Entry from Alexandria: crystalline Li5In at its relaxed geometry (GGA-PBEsol).

## Properties
For the energy above the most stable polymorph in this dataset, the calculation gives 24 meV per atom. Its calculated formation energy is -0.161 eV per atom. For the raw total energy, the calculation gives -13.78 eV per formula unit.

Cell lengths 6.4924, 6.4924, 4.3709 Å; angles 90.00, 90.00, 142.87 degrees
Last column: nearest neighbours and their distance in Å.
Fractional positions:
Li 0.0000 0.0000 0.0000  8 Li 2.84-2.99, 4 In 3.01
Li 0.1658 0.8342 0.5000  2 In 2.91, 10 Li 2.93-3.08
Li 0.3416 0.6584 0.0000  10 Li 2.84-3.08, 2 In 2.93
Li 0.6584 0.3416 0.0000  10 Li 2.84-3.08, 2 In 2.93
Li 0.8342 0.1658 0.5000  2 In 2.91, 10 Li 2.93-3.08
In 0.5000 0.5000 0.5000  12 Li 2.91-3.01

# 6
Entry from Alexandria: crystalline LiIn5 at its relaxed geometry (GGA-PBEsol).

## Properties
Its calculated formation energy is -0.079 eV per atom. For the raw total energy, the calculation gives -17.36 eV per formula unit.

Cell lengths 3.3465, 5.1312, 8.3985 Å; angles 90.00, 92.09, 90.00 degrees
Last column: nearest neighbours and their distance in Å.
Fractional positions:
Li 0.0000 0.0000 0.0000  10 In 3.07-3.27, 2 Li 3.35
In 0.0427 0.5000 0.4334  7 In 2.98-3.30
In 0.4839 0.0000 0.6693  7 In 3.05-3.35, 2 Li 3.22-3.27
In 0.5081 0.5000 0.0960  8 In 3.07-3.35, 4 Li 3.17
In 0.5285 0.0000 0.3072  9 In 3.05-3.35, 2 Li 3.07
In 0.9859 0.5000 0.7872  7 In 2.98-3.23, 2 Li 3.13

# 7
Entry from Alexandria: crystalline LiIn2 at its relaxed geometry (GGA-PBEsol).

## Properties
Its calculated formation energy is -0.156 eV per atom. For the raw total energy, the calculation gives -8.40 eV per formula unit.

Cell lengths 7.8055, 7.8055, 5.2356 Å; angles 90.00, 90.00, 155.37 degrees
Last column: nearest neighbours and their distance in Å.
Fractional positions:
Li 0.2182 0.7818 0.7500  6 In 2.95-3.01, 4 Li 3.25
Li 0.7818 0.2182 0.2500  6 In 2.95-3.01, 4 Li 3.25
In 0.1203 0.8797 0.2500  4 Li 2.97-3.01, 8 In 3.19-3.33
In 0.4418 0.5582 0.2500  2 Li 2.95, 8 In 3.16-3.24
In 0.5582 0.4418 0.7500  2 Li 2.95, 8 In 3.16-3.24
In 0.8797 0.1203 0.7500  4 Li 2.97-3.01, 8 In 3.19-3.33

# 8
Entry from Alexandria: crystalline LiIn2 at its relaxed geometry (GGA-PBEsol).

## Properties
Its calculated formation energy is -0.158 eV per atom. For the raw total energy, the calculation gives -8.41 eV per formula unit.

Cell lengths 4.9633, 4.9633, 3.1980 Å; angles 90.00, 90.00, 120.00 degrees
Last column: nearest neighbours and their distance in Å.
Fractional positions:
Li 0.0000 0.0000 0.0000  2 Li 3.20, 12 In 3.28
In 0.3333 0.6667 0.5000  5 In 2.87-3.20
In 0.6667 0.3333 0.5000  5 In 2.87-3.20

- raw total energy of number 8 (LiIn2)?
  -8.41 eV per formula unit

- Which value of calculated formation energy does entry 4 give?
  -0.213 eV per atom